TlVF3 | PBE+U | relaxed

```
TlVF3
1.0
-2.6693 -2.9072 -1.7448
1.4961 -0.5756 4.0065
-7.2021 4.6019 3.3506
F Tl V
6 2 2
Cartesian
-1.8005 1.1505 0.8376
-5.2285 0.3925 2.0088
-0.2390 -1.1313 2.2506
-3.1468 0.7267 3.6034
-5.4016 3.4514 2.5129
-8.1363 2.2504 3.3616
-3.0814 -0.9795 1.0099
-5.2940 2.0987 4.6023
-3.6011 2.3010 1.6753
0.0000 0.0000 0.0000
```

Output
- theoretical density (g/cm3) = 7.01
- E_tot (eV per cell) = -48.58
- relative energy among the computed polymorphs (eV per atom) = 0.566